# CuAgI3

A relaxed structure of CuAgI3 (PBE, Alexandria via LeMat-Bulk).

Summary:
Energy relative to the lowest polymorph listed for this composition ... 38 meV per atom
Density ... 4.81 g/cm3
Uncorrected formation energy ... -0.0777 eV per atom

The structure in CIF format:
```
data_CuAgI3
_chemical_formula_sum 'Cu2 Ag2 I6'
_cell_length_a 9.318
_cell_length_b 9.318
_cell_length_c 11.217
_cell_angle_alpha 104.86
_cell_angle_beta 104.86
_cell_angle_gamma 23.94
_space_group_name_H-M_alt 'P 1'
_space_group_IT_number 1
loop_
_space_group_symop_operation_xyz
'x,y,z'
loop_
_atom_site_label
_atom_site_type_symbol
_atom_site_fract_x
_atom_site_fract_y
_atom_site_fract_z
Cu1 Cu 0.124 0.124 0.483
Cu2 Cu 0.876 0.876 0.517
Ag1 Ag 0.399 0.399 0.191
Ag2 Ag 0.601 0.601 0.809
I1 I 0.129 0.129 0.991
I2 I 0.308 0.308 0.363
I3 I 0.441 0.441 0.670
I4 I 0.559 0.559 0.330
I5 I 0.692 0.692 0.637
I6 I 0.871 0.871 0.009
```



# Cu2AgI

A relaxed structure of Cu2AgI (PBE, Alexandria via LeMat-Bulk).

Summary:
Energy relative to the lowest polymorph listed for this composition ... 57 meV per atom
Density ... 8.05 g/cm3
Uncorrected formation energy ... 0.5476 eV per atom

The structure in CIF format:
```
data_Cu2AgI
_chemical_formula_sum 'Cu2 Ag1 I1'
_cell_length_a 4.727
_cell_length_b 4.727
_cell_length_c 4.727
_cell_angle_alpha 60.00
_cell_angle_beta 60.00
_cell_angle_gamma 60.00
_space_group_name_H-M_alt 'P 1'
_space_group_IT_number 1
loop_
_space_group_symop_operation_xyz
'x,y,z'
loop_
_atom_site_label
_atom_site_type_symbol
_atom_site_fract_x
_atom_site_fract_y
_atom_site_fract_z
Cu1 Cu 0.250 0.250 0.250
Cu2 Cu 0.750 0.750 0.750
Ag1 Ag 0.000 0.000 0.000
I1 I 0.500 0.500 0.500
```